1 | Density functional theory data (PBE+U) for a relaxed structure of NaVN2F.

```
NaVN2F
1.0
3.7856 0.0000 0.0000
0.0000 3.7856 0.0000
0.0000 0.0000 4.1612
Na N F V
1 2 1 1
Direct
0.5000 0.5000 0.5000
0.0000 0.5000 0.0000
0.5000 0.0000 0.0000
0.0000 0.0000 0.5000
0.0000 0.0000 0.0000
```

## Properties
D(E_F): 0.62 states/eV/f.u.
total magnetic moment: 0.38 μB per formula unit

***

2 | Density functional theory data (PBE+U) for a relaxed structure of NaVN2F.

```
NaVN2F
1.0
-2.4120 0.8970 -3.1474
2.9088 -1.2042 -2.5724
-1.3951 -3.5142 0.0676
Na N F V
1 2 1 1
Direct
0.0000 0.0000 0.0000
0.0000 0.5000 0.0000
0.5000 0.0000 0.0000
0.0000 0.0000 0.5000
0.5000 0.5000 0.5000
```

## Properties
D(E_F): 2.69 states/eV/f.u.
total magnetic moment: 2.94 μB per formula unit

***

List of relative energies, unit kJ/mol of atoms: 1 0.0; 2 196.0

***

1 | Density functional theory data (PBE+U) for a relaxed structure of NaWNF2.

```
NaWNF2
1.0
-1.8147 -1.0038 -3.1809
2.4944 -2.8125 -0.5355
-2.6478 -2.8045 2.3956
Na N W F
1 1 1 2
Direct
0.0000 0.0000 0.0000
0.0000 0.0000 0.5000
0.5000 0.5000 0.5000
0.0000 0.5000 0.0000
0.5000 0.0000 0.0000
```

## Properties
D(E_F): 0.50 states/eV/f.u.
total magnetic moment: 2.00 μB per formula unit

***

2 | Density functional theory data (PBE+U) for a relaxed structure of NaWNF2.

```
NaWNF2
1.0
-0.7172 4.0715 -1.1315
-1.6228 -1.3250 -3.7393
-3.6566 -0.1849 1.6524
Na N W F
1 1 1 2
Direct
0.5000 0.5000 0.5000
0.0000 0.0000 0.5000
0.0000 0.0000 0.0000
0.0000 0.5000 0.0000
0.5000 0.0000 0.0000
```

## Properties
D(E_F): 0.50 states/eV/f.u.
total magnetic moment: 2.00 μB per formula unit

***

List of relative energies, unit kJ/mol of atoms: 1 122.6; 2 0.0